1.
A plane-wave DFT calculation with SCAN was carried out for a PBEsol-optimized structure of CaCdSbTe2.

a = 5.2888 Å, b = 5.6364 Å, c = 5.6364 Å
α = 90.00°, β = 90.00°, γ = 90.00°
Positions (direct):
1 Te 0.0000 0.5000 0.0000
2 Sb 0.5000 0.0000 0.0000
3 Ca 0.5000 0.5000 0.5000
4 Te 0.0000 0.0000 0.5000
5 Cd 0.0000 0.0000 0.0000

Its total magnetization is 0.00 μB/cell. The uncorrected formation energy comes out at -0.056 eV/atom.


2.
A plane-wave DFT calculation with SCAN was carried out for a PBEsol-optimized structure of CaCd2Se.

a = 4.0488 Å, b = 4.0488 Å, c = 6.7475 Å
α = 107.19°, β = 107.19°, γ = 90.85°
Positions (direct):
1 Se 0.0000 0.0000 0.0000
2 Ca 0.5000 0.5000 0.0000
3 Cd 0.5000 0.5000 0.5000
4 Cd 0.0000 0.0000 0.5000

Its total magnetization is 0.00 μB/cell. The uncorrected formation energy comes out at -0.823 eV/atom.